# 1
Material: Pr2CdP3Rh12
Method: DFT, PBE-GGA
State: relaxed

Summary:
total moment = 0.00 μB per formula unit
space-group type = R-3m (166)
DFT total energy = -118.0 eV/cell

Cell and atoms, written as extended XYZ:
```
18
Lattice="4.3061 2.4861 4.9630 -4.3061 2.4861 4.9630 0.0000 -4.9722 4.9630" Properties=species:S:1:pos:R:3 pbc="T T T"
Pr 0.0000 0.0000 1.5913
Pr 0.0000 0.0000 13.2978
Cd 0.0000 0.0000 7.4445
P -2.1530 -1.2431 4.9630
P -2.1530 1.2431 9.9260
P 0.0000 2.4861 4.9630
Rh -2.2335 -1.2895 7.1589
Rh 0.0000 -2.0701 4.5882
Rh -1.7928 1.0351 4.5882
Rh 0.0000 -2.5790 7.7302
Rh -2.2335 1.2895 7.7302
Rh -1.7928 -1.0351 10.3008
Rh 1.7928 1.0351 4.5882
Rh 2.2335 -1.2895 7.1589
Rh 0.0000 2.5790 7.1589
Rh 1.7928 -1.0351 10.3008
Rh 0.0000 2.0701 10.3008
Rh 2.2335 1.2895 7.7302
```



# 2
Material: PrCdP2Rh5
Method: DFT, PBE-GGA
State: relaxed

Summary:
total moment = 0.00 μB per formula unit
space-group type = P4/mmm (123)
DFT total energy = -58.0 eV/cell

Cell and atoms, written as extended XYZ:
```
9
Lattice="4.0671 0.0000 0.0000 0.0000 4.0671 0.0000 0.0000 0.0000 10.2710" Properties=species:S:1:pos:R:3 pbc="T T T"
Pr 0.0000 0.0000 0.0000
Cd 0.0000 0.0000 5.1355
P 2.0336 2.0336 2.2655
P 2.0336 2.0336 8.0055
Rh 0.0000 2.0336 3.2512
Rh 0.0000 2.0336 7.0198
Rh 2.0336 0.0000 3.2512
Rh 2.0336 0.0000 7.0198
Rh 2.0336 2.0336 0.0000
```



# 3
Material: CdP2Pt
Method: DFT, PBE-GGA
State: relaxed

Summary:
total moment = 0.00 μB per formula unit
space-group type = P4mm (99)
DFT total energy = -17.0 eV/cell

Cell and atoms, written as extended XYZ:
```
4
Lattice="3.1894 0.0000 0.0000 0.0000 3.1894 0.0000 0.0000 0.0000 7.0346" Properties=species:S:1:pos:R:3 pbc="T T T"
Cd 0.0000 0.0000 0.0000
P 0.0000 0.0000 3.6791
P 1.5947 1.5947 2.7486
Pt 1.5947 1.5947 5.2340
```



# 4
Material: Cd2P2Pt
Method: DFT, PBE-GGA
State: relaxed

Summary:
total moment = 0.00 μB per formula unit
space-group type = P4/mbm (127)
DFT total energy = -39.2 eV/cell

Cell and atoms, written as extended XYZ:
```
10
Lattice="5.8408 0.0000 0.0000 0.0000 5.8408 0.0000 0.0000 0.0000 6.3722" Properties=species:S:1:pos:R:3 pbc="T T T"
Cd 1.0567 1.8637 0.0000
Cd 1.8637 4.7841 0.0000
Cd 3.9770 1.0567 0.0000
Cd 4.7841 3.9770 0.0000
P 0.7409 3.6613 3.1861
P 2.1795 0.7409 3.1861
P 3.6613 5.0999 3.1861
P 5.0999 2.1795 3.1861
Pt 0.0000 0.0000 3.1861
Pt 2.9204 2.9204 3.1861
```



# 5
Material: CdPPt
Method: DFT, PBE-GGA
State: relaxed

Summary:
total moment = 0.00 μB per formula unit
ΔE to the lowest computed polymorph = 7 meV per atom
space-group type = R3m (160)
DFT total energy = -39.4 eV/cell

Cell and atoms, written as extended XYZ:
```
9
Lattice="3.4677 0.0000 0.0000 -1.7339 3.0031 0.0000 0.0000 0.0000 17.5450" Properties=species:S:1:pos:R:3 pbc="T T T"
Cd 0.0000 0.0000 0.0000
Cd 0.0000 2.0021 11.6967
Cd 1.7339 1.0010 5.8483
P 0.0000 0.0000 14.9526
P 0.0000 2.0021 9.1042
P 1.7339 1.0010 3.2559
Pt 0.0000 0.0000 7.9417
Pt 0.0000 2.0021 2.0934
Pt 1.7339 1.0010 13.7901
```



# 6
Material: Cd4PPt
Method: DFT, PBE-GGA
State: relaxed

Summary:
total moment = 0.00 μB per formula unit
space-group type = F-43m (216)
DFT total energy = -12.8 eV/cell

Cell and atoms, written as extended XYZ:
```
6
Lattice="0.0000 3.9427 3.9427 3.9427 0.0000 3.9427 3.9427 3.9427 0.0000" Properties=species:S:1:pos:R:3 pbc="T T T"
Cd 0.9872 0.9872 0.9872
Cd 2.9555 2.9555 0.9872
Cd 2.9555 0.9872 2.9555
Cd 0.9872 2.9555 2.9555
P 5.9140 5.9140 5.9140
Pt 3.9427 3.9427 3.9427
```



# 7
Material: CdP2Pt
Method: DFT, PBE-GGA
State: relaxed

Summary:
total moment = 0.00 μB per formula unit
space-group type = P4mm (99)
DFT total energy = -17.5 eV/cell

Cell and atoms, written as extended XYZ:
```
4
Lattice="3.5008 0.0000 0.0000 0.0000 3.5008 0.0000 0.0000 0.0000 6.3069" Properties=species:S:1:pos:R:3 pbc="T T T"
Cd 0.0000 0.0000 0.0000
P 0.0000 0.0000 3.7359
P 1.7504 1.7504 1.0602
Pt 1.7504 1.7504 3.3523
```



# 8
Material: CdP2Pt7
Method: DFT, PBE-GGA
State: relaxed

Summary:
total moment = 0.00 μB per formula unit
space-group type = I4/mmm (139)
DFT total energy = -57.5 eV/cell

Cell and atoms, written as extended XYZ:
```
10
Lattice="-2.0032 2.0032 9.9858 2.0032 -2.0032 9.9858 2.0032 2.0032 -9.9858" Properties=species:S:1:pos:R:3 pbc="T T T"
Cd 0.0000 0.0000 0.0000
P 0.0000 0.0000 6.5439
P 0.0000 0.0000 13.4276
Pt 2.0032 0.0000 2.1337
Pt 2.0032 0.0000 4.9929
Pt 2.0032 0.0000 7.8521
Pt 0.0000 0.0000 9.9858
Pt 0.0000 2.0032 2.1337
Pt 0.0000 2.0032 4.9929
Pt 0.0000 2.0032 7.8521
```



# 9
Material: Cd2PPt
Method: DFT, PBE-GGA
State: relaxed

Summary:
total moment = 0.00 μB per formula unit
space-group type = C2/m (12)
DFT total energy = -25.5 eV/cell

Cell and atoms, written as extended XYZ:
```
8
Lattice="9.7296 0.0000 0.0000 0.0000 3.1297 0.0000 -0.6732 0.0000 4.7588" Properties=species:S:1:pos:R:3 pbc="T T T"
Cd 2.1921 0.0000 1.1692
Cd 1.9995 1.5648 3.5896
Cd 7.0569 1.5648 1.1692
Cd 6.8643 0.0000 3.5896
P -0.3366 0.0000 2.3794
P 4.5282 1.5648 2.3794
Pt 0.0000 1.5648 0.0000
Pt 4.8648 0.0000 0.0000
```



# 10
Material: CdPPt4
Method: DFT, PBE-GGA
State: relaxed

Summary:
total moment = 0.00 μB per formula unit
ΔE to the lowest computed polymorph = 0 meV per atom
space-group type = P-1 (2)
DFT total energy = -64.3 eV/cell

Cell and atoms, written as extended XYZ:
```
12
Lattice="5.5422 0.0000 0.0000 2.2639 6.1491 0.0000 0.3855 1.9371 6.2956" Properties=species:S:1:pos:R:3 pbc="T T T"
Cd 1.3473 0.6461 0.5181
Cd 6.8444 7.4401 5.7775
P 3.7411 3.1172 1.8466
P 4.4506 4.9690 4.4490
Pt 2.2666 4.9387 2.0085
Pt 2.8578 5.0303 6.2093
Pt 3.7800 6.9356 3.5174
Pt 3.0286 3.1031 4.2183
Pt 5.1631 4.9831 2.0773
Pt 4.4117 1.1506 2.7782
Pt 5.3339 3.0559 0.0863
Pt 5.9251 3.1475 4.2871
```



# 11
Material: Cd2PPt
Method: DFT, PBE-GGA
State: relaxed

Summary:
total moment = 0.00 μB per formula unit
space-group type = I-4m2 (119)
DFT total energy = -25.9 eV/cell

Cell and atoms, written as extended XYZ:
```
8
Lattice="4.0806 0.0000 0.0000 0.0000 4.0806 0.0000 0.0000 0.0000 8.7042" Properties=species:S:1:pos:R:3 pbc="T T T"
Cd 0.0000 0.0000 0.0000
Cd 0.0000 2.0403 2.1760
Cd 2.0403 0.0000 6.5281
Cd 2.0403 2.0403 4.3521
P 0.0000 2.0403 6.5281
P 2.0403 0.0000 2.1760
Pt 0.0000 0.0000 4.3521
Pt 2.0403 2.0403 0.0000
```



# 12
Material: Cd2PPt
Method: DFT, PBE-GGA
State: relaxed

Summary:
total moment = 0.00 μB per formula unit
space-group type = P4/mmm (123)
DFT total energy = -13.1 eV/cell

Cell and atoms, written as extended XYZ:
```
4
Lattice="3.6093 0.0000 0.0000 0.0000 3.6093 0.0000 0.0000 0.0000 5.5949" Properties=species:S:1:pos:R:3 pbc="T T T"
Cd 0.0000 0.0000 1.3975
Cd 0.0000 0.0000 4.1974
P 1.8046 1.8046 0.0000
Pt 1.8046 1.8046 2.7975
```



Looking at Fermi-level density of states for the records above, in order, we have 0.863 0.471 0.337 0.276 0.444 0.511 0.458 0.257 0.394 0.441 0.625 0.251 states/eV per atom.